[1]
Material: CaMg14CrO16
Method: DFT, GGA-PBEsol
State: optimized geometry

a b c (Å): 4.2923 8.4841 8.5798
angles (deg): 90.00 90.00 90.00
Space group Pmmm (No. 47)
One atom of each set of equivalent atoms:
Ca: 0.0000 0.0000 0.0000 [1 per cell]
Mg: 0.0000 0.0000 0.5000 [1 per cell]
Mg: 0.0000 0.2535 0.2548 [4 per cell]
Mg: 0.0000 0.5000 0.5000 [1 per cell]
Mg: 0.5000 0.0000 0.2557 [2 per cell]
Mg: 0.5000 0.2507 0.5000 [2 per cell]
Mg: 0.5000 0.2555 0.0000 [2 per cell]
Mg: 0.5000 0.5000 0.2519 [2 per cell]
Cr: 0.0000 0.5000 0.0000 [1 per cell]
O: 0.0000 0.0000 0.2627 [2 per cell]
O: 0.0000 0.2506 0.5000 [2 per cell]
O: 0.0000 0.2633 0.0000 [2 per cell]
O: 0.0000 0.5000 0.2605 [2 per cell]
O: 0.5000 0.0000 0.0000 [1 per cell]
O: 0.5000 0.0000 0.5000 [1 per cell]
O: 0.5000 0.2501 0.2493 [4 per cell]
O: 0.5000 0.5000 0.0000 [1 per cell]
O: 0.5000 0.5000 0.5000 [1 per cell]

* uncorrected formation energy: -2.622 eV/atom

[2]
Material: AlAg3
Method: DFT, GGA-PBEsol
State: optimized geometry

a b c (Å): 2.8926 2.8926 15.5267
angles (deg): 90.00 90.00 90.00
Space group P4/mmm (No. 123)
One atom of each set of equivalent atoms:
Al: 0.0000 0.0000 0.1217 [2 per cell]
Ag: 0.0000 0.0000 0.3717 [2 per cell]
Ag: 0.5000 0.5000 0.0000 [1 per cell]
Ag: 0.5000 0.5000 0.2399 [2 per cell]
Ag: 0.5000 0.5000 0.5000 [1 per cell]

* formation enthalpy at 0 K: -0.2 eV/f.u.

[3]
Material: SrLaTl2
Method: DFT, GGA-PBEsol
State: optimized geometry

a b c (Å): 5.5861 5.5861 3.9780
angles (deg): 90.00 90.00 90.00
Space group P4mm (No. 99)
One atom of each set of equivalent atoms:
Sr: 0.0000 0.0000 0.0000 [1 per cell]
La: 0.5000 0.5000 0.0020 [1 per cell]
Tl: 0.0000 0.5000 0.5007 [2 per cell]

* formation enthalpy at 0 K: -1.8 eV/f.u.